No. 1
Th6SnHg2: relaxed, PBE-GGA.

Summary:
As for the calculated volume: 548.76 Å³ per cell. The total magnetization comes out at 0.0 μB/cell. The electronic total energy is -5.562 eV/atom.

abc: 9.330 9.330 6.376
angles: 95.61 95.61 86.02
Positions (direct):
Th1 0.074 0.452 0.241
Th2 0.138 0.807 0.501
Th3 0.193 0.862 0.999
Th4 0.275 0.470 0.747
Th5 0.452 0.074 0.741
Th6 0.470 0.275 0.247
Th7 0.530 0.725 0.753
Th8 0.548 0.926 0.259
Th9 0.725 0.530 0.253
Th10 0.807 0.138 0.001
Th11 0.862 0.193 0.499
Th12 0.926 0.548 0.759
Sn1 0.383 0.617 0.250
Sn2 0.617 0.383 0.750
Hg1 0.128 0.192 0.865
Hg2 0.192 0.128 0.365
Hg3 0.808 0.872 0.635
Hg4 0.872 0.808 0.135

No. 2
CoB2Ru: relaxed, PBE-GGA.

Summary:
The calculation puts the energy above the most stable polymorph in this dataset at 0.000 eV per atom. As for the calculated volume: 37.69 Å³ per cell. The total magnetization comes out at 0.0 μB/cell. The electronic total energy is -7.507 eV/atom.

abc: 5.520 5.520 5.520
angles: 30.19 30.19 30.19
Positions (direct):
Co1 0.000 0.000 0.000
B1 0.410 0.410 0.410
B2 0.585 0.585 0.585
Ru1 0.829 0.829 0.829

No. 3
Y7AsI12: relaxed, PBE-GGA.

Summary:
The uncorrected formation energy is -1313.3 meV/atom. As for the calculated volume: 743.87 Å³ per cell. The total magnetization comes out at 0.0 μB/cell. The electronic total energy is -4.738 eV/atom.

abc: 9.726 9.726 9.726
angles: 108.02 108.02 108.02
Positions (direct):
Y1 0.000 0.000 0.000
Y2 0.191 0.397 0.467
Y3 0.397 0.467 0.191
Y4 0.467 0.191 0.397
Y5 0.533 0.809 0.603
Y6 0.603 0.533 0.809
Y7 0.809 0.603 0.533
As1 0.500 0.500 0.500
I1 0.033 0.346 0.112
I2 0.112 0.033 0.346
I3 0.187 0.728 0.578
I4 0.272 0.422 0.813
I5 0.346 0.112 0.033
I6 0.422 0.813 0.272
I7 0.578 0.187 0.728
I8 0.654 0.888 0.967
I9 0.728 0.578 0.187
I10 0.813 0.272 0.422
I11 0.888 0.967 0.654
I12 0.967 0.654 0.888

No. 4
Li5Th3O12: relaxed, PBE-GGA.

Summary:
The uncorrected formation energy is -2087.6 meV/atom. As for the calculated volume: 1075.07 Å³ per cell. The total magnetization comes out at 28.1 μB/cell. The electronic total energy is -6.654 eV/atom.

abc: 11.178 11.178 11.178
angles: 109.47 109.47 109.47
Positions (direct):
Li1 0.000 0.000 0.000
Li2 0.000 0.000 0.500
Li3 0.000 0.500 0.000
Li4 0.000 0.500 0.500
Li5 0.125 0.750 0.875
Li6 0.125 0.875 0.250
Li7 0.250 0.125 0.875
Li8 0.250 0.625 0.375
Li9 0.375 0.250 0.625
Li10 0.375 0.625 0.750
Li11 0.500 0.000 0.000
Li12 0.500 0.000 0.500
Li13 0.500 0.500 0.000
Li14 0.500 0.500 0.500
Li15 0.625 0.375 0.250
Li16 0.625 0.750 0.375
Li17 0.750 0.375 0.625
Li18 0.750 0.875 0.125
Li19 0.875 0.125 0.750
Li20 0.875 0.250 0.125
Th1 0.125 0.250 0.375
Th2 0.125 0.375 0.750
Th3 0.250 0.375 0.125
Th4 0.250 0.875 0.625
Th5 0.375 0.125 0.250
Th6 0.375 0.750 0.125
Th7 0.625 0.250 0.875
Th8 0.625 0.875 0.750
Th9 0.750 0.125 0.375
Th10 0.750 0.625 0.875
Th11 0.875 0.625 0.250
Th12 0.875 0.750 0.625
O1 0.048 0.233 0.139
O2 0.048 0.316 0.909
O3 0.091 0.639 0.407
O4 0.091 0.952 0.684
O5 0.093 0.733 0.684
O6 0.093 0.861 0.409
O7 0.139 0.048 0.233
O8 0.139 0.591 0.907
O9 0.184 0.233 0.593
O10 0.184 0.452 0.591
O11 0.233 0.139 0.048
O12 0.233 0.593 0.184
O13 0.267 0.316 0.907
O14 0.267 0.452 0.361
O15 0.316 0.907 0.267
O16 0.316 0.909 0.048
O17 0.361 0.267 0.452
O18 0.361 0.593 0.909
O19 0.407 0.091 0.639
O20 0.407 0.816 0.767
O21 0.409 0.093 0.861
O22 0.409 0.816 0.548
O23 0.452 0.361 0.267
O24 0.452 0.591 0.184
O25 0.548 0.409 0.816
O26 0.548 0.639 0.733
O27 0.591 0.184 0.452
O28 0.591 0.907 0.139
O29 0.593 0.184 0.233
O30 0.593 0.909 0.361
O31 0.639 0.407 0.091
O32 0.639 0.733 0.548
O33 0.684 0.091 0.952
O34 0.684 0.093 0.733
O35 0.733 0.548 0.639
O36 0.733 0.684 0.093
O37 0.767 0.407 0.816
O38 0.767 0.861 0.952
O39 0.816 0.548 0.409
O40 0.816 0.767 0.407
O41 0.861 0.409 0.093
O42 0.861 0.952 0.767
O43 0.907 0.139 0.591
O44 0.907 0.267 0.316
O45 0.909 0.048 0.316
O46 0.909 0.361 0.593
O47 0.952 0.684 0.091
O48 0.952 0.767 0.861

No. 5
Dy12Y6Tm: relaxed, PBE-GGA.

Summary:
The calculation puts the energy above the most stable polymorph in this dataset at 0.000 eV per atom. As for the calculated volume: 619.10 Å³ per cell. The total magnetization comes out at 0.0 μB/cell. The electronic total energy is -5.008 eV/atom.

abc: 8.528 8.528 8.528
angles: 92.02 92.02 92.02
Positions (direct):
Dy1 0.027 0.290 0.964
Dy2 0.036 0.973 0.710
Dy3 0.126 0.349 0.447
Dy4 0.290 0.964 0.027
Dy5 0.349 0.447 0.126
Dy6 0.447 0.126 0.349
Dy7 0.553 0.874 0.651
Dy8 0.651 0.553 0.874
Dy9 0.710 0.036 0.973
Dy10 0.874 0.651 0.553
Dy11 0.964 0.027 0.290
Dy12 0.973 0.710 0.036
Y1 0.226 0.766 0.381
Y2 0.234 0.619 0.774
Y3 0.381 0.226 0.766
Y4 0.619 0.774 0.234
Y5 0.766 0.381 0.226
Y6 0.774 0.234 0.619
Tm1 0.500 0.500 0.500

No. 6
PaZnPN: relaxed, PBE-GGA.

Summary:
The uncorrected formation energy is -1073.7 meV/atom. As for the calculated volume: 135.55 Å³ per cell. The total magnetization comes out at 0.0 μB/cell. The electronic total energy is -7.200 eV/atom.

abc: 10.384 10.384 10.384
angles: 21.82 21.82 21.82
Positions (direct):
Pa1 0.121 0.121 0.121
Pa2 0.879 0.879 0.879
Zn1 0.304 0.304 0.304
Zn2 0.696 0.696 0.696
P1 0.388 0.388 0.388
P2 0.612 0.612 0.612
N1 0.194 0.194 0.194
N2 0.806 0.806 0.806

No. 7
CrNiB2: relaxed, PBE-GGA.

Summary:
The calculation puts the energy above the most stable polymorph in this dataset at 0.349 eV per atom. As for the calculated volume: 80.48 Å³ per cell. The total magnetization comes out at 0.0 μB/cell. The electronic total energy is -6.703 eV/atom.

abc: 7.313 7.313 7.313
angles: 153.00 153.00 38.55
Positions (direct):
Cr1 0.375 0.625 0.750
Cr2 0.625 0.375 0.250
Ni1 0.125 0.875 0.250
Ni2 0.875 0.125 0.750
B1 0.000 0.000 0.000
B2 0.000 0.000 0.500
B3 0.000 0.500 0.000
B4 0.500 0.000 0.500

No. 8
Cd3TcPb: relaxed, PBE-GGA.

Summary:
The calculation puts the energy above the most stable polymorph in this dataset at 0.000 eV per atom. As for the calculated volume: 143.40 Å³ per cell. The total magnetization comes out at 0.9 μB/cell. The electronic total energy is -2.644 eV/atom.

abc: 5.234 5.234 5.234
angles: 90.00 90.00 90.00
Positions (direct):
Cd1 0.000 0.000 0.500
Cd2 0.000 0.500 0.000
Cd3 0.500 0.000 0.000
Tc1 0.000 0.000 0.000
Pb1 0.500 0.500 0.500

No. 9
NdSbN: relaxed, PBE-GGA.

Summary:
The uncorrected formation energy is -56.6 meV/atom. The calculation puts the energy above the most stable polymorph in this dataset at 0.636 eV per atom. As for the calculated volume: 80.86 Å³ per cell. The total magnetization comes out at 0.0 μB/cell. The electronic total energy is -5.795 eV/atom.

abc: 5.059 5.059 5.059
angles: 126.53 126.53 79.02
Positions (direct):
Nd1 0.000 0.000 0.000
Sb1 0.465 0.465 0.000
N1 0.725 0.725 0.000

No. 10
CeSnH8Rh2: relaxed, PBE-GGA.

Summary:
As for the calculated volume: 117.10 Å³ per cell. The total magnetization comes out at 0.3 μB/cell. The electronic total energy is -4.323 eV/atom.

abc: 8.505 8.505 8.505
angles: 27.67 27.67 27.67
Positions (direct):
Ce1 0.000 0.000 0.000
Sn1 0.500 0.500 0.500
H1 0.170 0.765 0.322
H2 0.235 0.678 0.830
H3 0.318 0.318 0.318
H4 0.322 0.170 0.765
H5 0.678 0.830 0.235
H6 0.682 0.682 0.682
H7 0.765 0.322 0.170
H8 0.830 0.235 0.678
Rh1 0.249 0.249 0.249
Rh2 0.751 0.751 0.751